# MnInBr PBE relaxed
# Formation energy without anion corrections, eV/f.u.: -0.04
# N(E_F), states/eV/cell: 2.097
# Crystal system: trigonal
data_MnInBr
_symmetry_space_group_name_H-M 'P 1'
_symmetry_Int_Tables_number 1
_cell_length_a 3.536
_cell_length_b 3.536
_cell_length_c 7.010
_cell_angle_alpha 90.00
_cell_angle_beta 90.00
_cell_angle_gamma 120.00
loop_
_symmetry_equiv_pos_as_xyz
'x,y,z'
loop_
_atom_site_label
_atom_site_fract_x
_atom_site_fract_y
_atom_site_fract_z
_atom_site_occupancy
Mn1 0.000 0.000 0.000 1
In1 0.333 0.667 0.708 1
Br1 0.667 0.333 0.232 1


# YTmTh2 PBE relaxed
# Polymorph energy (0 for the lowest one), meV per atom: 13
# N(E_F), states/eV/cell: 5.437
# Crystal system: tetragonal
data_YTmTh2
_symmetry_space_group_name_H-M 'P 1'
_symmetry_Int_Tables_number 1
_cell_length_a 3.552
_cell_length_b 3.552
_cell_length_c 10.092
_cell_angle_alpha 90.00
_cell_angle_beta 90.00
_cell_angle_gamma 90.00
loop_
_symmetry_equiv_pos_as_xyz
'x,y,z'
loop_
_atom_site_label
_atom_site_fract_x
_atom_site_fract_y
_atom_site_fract_z
_atom_site_occupancy
Y1 0.000 0.000 0.000 1
Tm1 0.000 0.000 0.500 1
Th1 0.500 0.500 0.253 1
Th2 0.500 0.500 0.747 1


# FeCoCl2 PBE relaxed
# Formation energy without anion corrections, eV/f.u.: 1.20
# N(E_F), states/eV/cell: 4.754
# Crystal system: monoclinic
data_FeCoCl2
_symmetry_space_group_name_H-M 'P 1'
_symmetry_Int_Tables_number 1
_cell_length_a 3.290
_cell_length_b 3.758
_cell_length_c 5.494
_cell_angle_alpha 90.00
_cell_angle_beta 96.43
_cell_angle_gamma 90.00
loop_
_symmetry_equiv_pos_as_xyz
'x,y,z'
loop_
_atom_site_label
_atom_site_fract_x
_atom_site_fract_y
_atom_site_fract_z
_atom_site_occupancy
Fe1 0.000 0.000 0.000 1
Co1 0.500 0.000 0.500 1
Cl1 0.249 0.500 0.252 1
Cl2 0.751 0.500 0.748 1


# Ta2SiAg PBE relaxed
# Formation energy without anion corrections, eV/f.u.: 0.26
# N(E_F), states/eV/cell: 3.176
# Crystal system: orthorhombic
data_Ta2SiAg
_symmetry_space_group_name_H-M 'P 1'
_symmetry_Int_Tables_number 1
_cell_length_a 2.872
_cell_length_b 2.872
_cell_length_c 8.670
_cell_angle_alpha 90.00
_cell_angle_beta 90.00
_cell_angle_gamma 105.26
loop_
_symmetry_equiv_pos_as_xyz
'x,y,z'
loop_
_atom_site_label
_atom_site_fract_x
_atom_site_fract_y
_atom_site_fract_z
_atom_site_occupancy
Ta1 0.000 0.000 0.000 1
Ta2 0.500 0.500 0.261 1
Si1 0.000 0.000 0.486 1
Ag1 0.500 0.500 0.730 1